Record 1
Computed, not measured: HfPd2Au2 after structural relaxation at the PBE level of DFT.

CIF file:
```
data_HfPd2Au2
_symmetry_space_group_name_H-M 'P 1'
_symmetry_Int_Tables_number 1
_symmetry_space_group_name_Hall 'P 1'
_cell_length_a 7.1825
_cell_length_b 7.1825
_cell_length_c 3.5322
_cell_angle_alpha 90.00
_cell_angle_beta 90.00
_cell_angle_gamma 90.00
loop_
_atom_site_label
_atom_site_type_symbol
_atom_site_fract_x
_atom_site_fract_y
_atom_site_fract_z
Hf1 Hf 0.0000 0.0000 0.0000
Hf2 Hf 0.5000 0.5000 0.0000
Pd1 Pd 0.1653 0.3347 0.5000
Pd2 Pd 0.3347 0.8347 0.5000
Pd3 Pd 0.6653 0.1653 0.5000
Pd4 Pd 0.8347 0.6653 0.5000
Au1 Au 0.1348 0.6348 0.0000
Au2 Au 0.3652 0.1348 0.0000
Au3 Au 0.6348 0.8652 0.0000
Au4 Au 0.8652 0.3652 0.0000
```

The calculation puts the final energy at -5.615 eV per atom. As for the space-group type: P4/mbm, No. 127. The energy relative to the elements is -0.236 eV/atom. The calculation puts the density of states at the Fermi level at 8.22 states/eV/cell.

=====

Record 2
Computed, not measured: Sm3TlHg2 after structural relaxation at the PBE level of DFT.

CIF file:
```
data_Sm3TlHg2
_symmetry_space_group_name_H-M 'P 1'
_symmetry_Int_Tables_number 1
_symmetry_space_group_name_Hall 'P 1'
_cell_length_a 5.3986
_cell_length_b 5.3986
_cell_length_c 6.6236
_cell_angle_alpha 90.00
_cell_angle_beta 90.00
_cell_angle_gamma 120.00
loop_
_atom_site_label
_atom_site_type_symbol
_atom_site_fract_x
_atom_site_fract_y
_atom_site_fract_z
Sm1 Sm 0.0000 0.0000 0.0000
Sm2 Sm 0.3333 0.6667 0.6728
Sm3 Sm 0.6667 0.3333 0.3272
Tl1 Tl 0.0000 0.0000 0.5000
Hg1 Hg 0.3333 0.6667 0.1666
Hg2 Hg 0.6667 0.3333 0.8334
```

The calculation puts the final energy at -3.292 eV per atom. As for the space-group type: P-3m1, No. 164. The energy relative to the elements is -0.437 eV/atom. The calculation puts the density of states at the Fermi level at 6.07 states/eV/cell.

=====

Among the records above, which one has the lowest final energy? HfPd2Au2

=====

Among the records above, which one has the lowest final energy? HfPd2Au2